Record 1
Compound: K2SrSc
Source: Alexandria via LeMat-Bulk
Functional: PBEsol
Structure: relaxed

Calculated values
Theoretical density   1.9 g/cm3
DOS at the Fermi energy   5.4 states/eV per cell
ΔH_f (0 K)   0.5527 eV per atom
Crystal system   tetragonal
Raw total energy   -2.125 eV per atom

abc: 5.2414 5.2414 6.7308
angles: 90.00 90.00 90.00
Last column: nearest neighbours and their distance in Å.
Positions (direct):
1 K 0.0000 0.5000 0.0000  4 K 3.71
2 K 0.5000 0.0000 0.0000  4 K 3.71
3 Sc 0.5000 0.5000 0.5000  4 Sr 3.71
4 Sr 0.0000 0.0000 0.5000  4 Sc 3.71

Record 2
Compound: Nd3Ir
Source: Alexandria via LeMat-Bulk
Functional: PBEsol
Structure: relaxed

Calculated values
Theoretical density   9.2 g/cm3
DOS at the Fermi energy   17.3 states/eV per cell
ΔH_f (0 K)   -0.4137 eV per atom
Crystal system   orthorhombic
Raw total energy   -6.745 eV per atom

abc: 6.4197 7.2720 9.6923
angles: 90.00 90.00 90.00
Last column: nearest neighbours and their distance in Å.
Positions (direct):
1 Nd 0.3303 0.6758 0.0640  2 Ir 2.89-2.90
2 Nd 0.1697 0.1758 0.4360  2 Ir 2.89-2.90
3 Nd 0.6697 0.3242 0.5640  2 Ir 2.89-2.90
4 Nd 0.8303 0.8242 0.9360  2 Ir 2.89-2.90
5 Nd 0.6697 0.3242 0.9360  2 Ir 2.89-2.90
6 Nd 0.8303 0.8242 0.5640  2 Ir 2.89-2.90
7 Nd 0.3303 0.6758 0.4360  2 Ir 2.89-2.90
8 Nd 0.1697 0.1758 0.0640  2 Ir 2.89-2.90
9 Nd 0.8597 0.5340 0.2500  2 Ir 2.84-2.93
10 Nd 0.6403 0.0340 0.2500  2 Ir 2.84-2.93
11 Nd 0.1403 0.4660 0.7500  2 Ir 2.84-2.93
12 Nd 0.3597 0.9660 0.7500  2 Ir 2.84-2.93
13 Ir 0.0630 0.8806 0.2500  6 Nd 2.84-2.93
14 Ir 0.4370 0.3806 0.2500  6 Nd 2.84-2.93
15 Ir 0.9370 0.1194 0.7500  6 Nd 2.84-2.93
16 Ir 0.5630 0.6194 0.7500  6 Nd 2.84-2.93

Record 3
Compound: HgIrRu2
Source: Alexandria via LeMat-Bulk
Functional: PBEsol
Structure: relaxed

Calculated values
Theoretical density   16.1 g/cm3
DOS at the Fermi energy   5.3 states/eV per cell
ΔH_f (0 K)   0.6107 eV per atom
Crystal system   orthorhombic
Raw total energy   -7.073 eV per atom

abc: 2.7394 2.7381 9.4751
angles: 90.00 90.00 120.02
Last column: nearest neighbours and their distance in Å.
Positions (direct):
1 Hg 0.5000 0.0000 0.5000  6 Hg 2.74, 4 Ru 2.86
2 Ir 0.5000 0.0000 0.0000  4 Ru 2.62, 6 Ir 2.74
3 Ru 0.0000 0.0000 0.7644  2 Ir 2.62, 6 Ru 2.74, 2 Hg 2.86
4 Ru 0.0000 0.0000 0.2356  2 Ir 2.62, 6 Ru 2.74, 2 Hg 2.86

Record 4
Compound: Na3H7Ru
Source: Alexandria via LeMat-Bulk
Functional: PBEsol
Structure: relaxed

Calculated values
Theoretical density   2.6 g/cm3
DOS at the Fermi energy   0.0 states/eV per cell
Crystal system   tetragonal
Raw total energy   -3.679 eV per atom

abc: 5.1414 9.3699 9.3699
angles: 90.00 90.00 90.00
Last column: nearest neighbours and their distance in Å.
Positions (direct):
1 Na 0.5000 0.6969 0.9674  6 H 2.28-2.50
2 Na 0.5000 0.3031 0.0326  6 H 2.28-2.50
3 Na 0.0000 0.1969 0.5326  6 H 2.28-2.50
4 Na 0.0000 0.8031 0.4674  6 H 2.28-2.50
5 Na 0.5000 0.9674 0.6969  6 H 2.28-2.50
6 Na 0.5000 0.0326 0.3031  6 H 2.28-2.50
7 Na 0.0000 0.5326 0.1969  6 H 2.28-2.50
8 Na 0.0000 0.4674 0.8031  6 H 2.28-2.50
9 Na 0.5000 0.3840 0.3840  6 H 2.15-2.31
10 Na 0.5000 0.6160 0.6160  6 H 2.15-2.31
11 Na 0.0000 0.8840 0.1160  6 H 2.15-2.31
12 Na 0.0000 0.1160 0.8840  6 H 2.15-2.31
13 H 0.7032 0.6034 0.3966  1 Ru 1.66
14 H 0.7032 0.3966 0.6034  1 Ru 1.66
15 H 0.2032 0.1034 0.1034  1 Ru 1.66
16 H 0.2032 0.8966 0.8966  1 Ru 1.66
17 H 0.2968 0.3966 0.6034  1 Ru 1.66
18 H 0.2968 0.6034 0.3966  1 Ru 1.66
19 H 0.7968 0.8966 0.8966  1 Ru 1.66
20 H 0.7968 0.1034 0.1034  1 Ru 1.66
21 H 0.2000 0.7415 0.2585  1 Ru 1.63
22 H 0.2000 0.2585 0.7415  1 Ru 1.63
23 H 0.7000 0.2415 0.2415  1 Ru 1.63
24 H 0.7000 0.7585 0.7585  1 Ru 1.63
25 H 0.8000 0.2585 0.7415  1 Ru 1.63
26 H 0.8000 0.7415 0.2585  1 Ru 1.63
27 H 0.3000 0.7585 0.7585  1 Ru 1.63
28 H 0.3000 0.2415 0.2415  1 Ru 1.63
29 H 0.5000 0.5655 0.1759  1 Ru 1.72
30 H 0.5000 0.4345 0.8241  1 Ru 1.72
31 H 0.0000 0.0655 0.3241  1 Ru 1.72
32 H 0.0000 0.9345 0.6759  1 Ru 1.72
33 H 0.5000 0.1759 0.5655  1 Ru 1.72
34 H 0.5000 0.8241 0.4345  1 Ru 1.72
35 H 0.0000 0.3241 0.0655  1 Ru 1.72
36 H 0.0000 0.6759 0.9345  1 Ru 1.72
37 H 0.5000 0.8259 0.1741  1 Ru 1.65
38 H 0.5000 0.1741 0.8259  1 Ru 1.65
39 H 0.0000 0.3259 0.3259  1 Ru 1.65
40 H 0.0000 0.6741 0.6741  1 Ru 1.65
41 Ru 0.5000 0.7012 0.2988  7 H 1.63-1.72
42 Ru 0.5000 0.2988 0.7012  7 H 1.63-1.72
43 Ru 0.0000 0.2012 0.2012  7 H 1.63-1.72
44 Ru 0.0000 0.7988 0.7988  7 H 1.63-1.72

Record 5
Compound: NbP2PdO
Source: Alexandria via LeMat-Bulk
Functional: PBEsol
Structure: relaxed

Calculated values
Theoretical density   5.8 g/cm3
DOS at the Fermi energy   4.5 states/eV per cell
Crystal system   tetragonal
Raw total energy   -6.295 eV per atom

abc: 3.7730 4.5694 4.5694
angles: 90.00 90.00 90.00
Last column: nearest neighbours and their distance in Å.
Positions (direct):
1 P 0.0000 0.0000 0.5000  2 Pd 2.28
2 P 0.0000 0.5000 0.0000  2 Pd 2.28
3 Nb 0.5000 0.5000 0.5000  8 P 2.96, 4 O 3.23
4 O 0.5000 0.0000 0.0000  2 Pd 1.89
5 Pd 0.0000 0.0000 0.0000  2 O 1.89

Record 6
Compound: ScTlBr2
Source: Alexandria via LeMat-Bulk
Functional: PBEsol
Structure: relaxed

Calculated values
Theoretical density   6.9 g/cm3
DOS at the Fermi energy   2.6 states/eV per cell
Crystal system   cubic
Raw total energy   -3.821 eV per atom

abc: 5.1812 5.1812 5.1812
angles: 60.00 60.00 60.00
Last column: nearest neighbours and their distance in Å.
Positions (direct):
1 Br 0.7500 0.7500 0.7500  4 Tl 3.17, 4 Sc 3.17
2 Br 0.2500 0.2500 0.2500  4 Tl 3.17, 4 Sc 3.17
3 Sc 0.5000 0.5000 0.5000  8 Br 3.17
4 Tl 0.0000 0.0000 0.0000  8 Br 3.17

Record 7
Compound: KMg2Sn2
Source: Alexandria via LeMat-Bulk
Functional: PBEsol
Structure: relaxed

Calculated values
Theoretical density   4.1 g/cm3
DOS at the Fermi energy   2.7 states/eV per cell
ΔH_f (0 K)   -0.1736 eV per atom
Crystal system   tetragonal
Raw total energy   -2.791 eV per atom

abc: 3.2172 9.0922 9.0922
angles: 90.00 90.00 90.00
Last column: nearest neighbours and their distance in Å.
Positions (direct):
1 Mg 0.5000 0.1357 0.6357  6 Sn 3.09-3.14, 2 Mg 3.22
2 Mg 0.5000 0.6357 0.8643  6 Sn 3.09-3.14, 2 Mg 3.22
3 Mg 0.5000 0.8643 0.3643  6 Sn 3.09-3.14, 2 Mg 3.22
4 Mg 0.5000 0.3643 0.1357  6 Sn 3.09-3.14, 2 Mg 3.22
5 K 0.0000 0.0000 0.0000  2 K 3.22, 4 Sn 3.44
6 K 0.0000 0.5000 0.5000  2 K 3.22, 4 Sn 3.44
7 Sn 0.0000 0.3457 0.8457  6 Mg 3.09-3.14, 2 Sn 3.22, 2 K 3.44
8 Sn 0.0000 0.8457 0.6543  6 Mg 3.09-3.14, 2 Sn 3.22, 2 K 3.44
9 Sn 0.0000 0.6543 0.1543  6 Mg 3.09-3.14, 2 Sn 3.22, 2 K 3.44
10 Sn 0.0000 0.1543 0.3457  6 Mg 3.09-3.14, 2 Sn 3.22, 2 K 3.44

Record 8
Compound: MnCd2Hg
Source: Alexandria via LeMat-Bulk
Functional: PBEsol
Structure: relaxed

Calculated values
Theoretical density   10.7 g/cm3
DOS at the Fermi energy   2.0 states/eV per cell
ΔH_f (0 K)   0.2289 eV per atom
Crystal system   tetragonal
Raw total energy   -2.952 eV per atom

abc: 4.2979 4.2979 5.0479
angles: 115.20 115.20 90.00
Last column: nearest neighbours and their distance in Å.
Positions (direct):
1 Cd 0.0000 0.0000 0.0000  4 Mn 2.95, 4 Cd 2.95, 4 Hg 3.04
2 Cd 0.7500 0.2500 0.5000  4 Cd 2.95, 4 Hg 2.95, 4 Mn 3.04
3 Hg 0.5000 0.5000 0.0000  8 Cd 2.95-3.04, 4 Mn 2.95
4 Mn 0.2500 0.7500 0.5000  4 Hg 2.95, 8 Cd 2.95-3.04